GGA-PBE CrFeSi, relaxed; V = 34.3 Å³/f.u.; formation energy from raw total energies = -0.7 eV/f.u.; SG = P1, No. 1
1.0
-1.9183 -2.2235 -3.0165
2.4731 -2.5762 -2.5117
0.0247 -4.4930 1.2878
Cr Si Fe
2 2 2
Cartesian
0.8156 -7.8168 -4.1010
0.6326 -6.2196 -2.3173
-0.1608 -4.0388 -3.1871
0.4153 -4.6856 -0.3723
-0.3526 -2.5037 -1.2874
1.8841 -3.4493 -1.9609